Here is crystalline GdDyCu at its relaxed geometry from Alexandria via LeMat-Bulk. Energies are from PBE-GGA. Values from VASP.

Structure (Quantum ESPRESSO input):
```
&SYSTEM
  ibrav = 0, nat = 3, ntyp = 3
/
ATOMIC_SPECIES
Dy 162.50 Dy.upf
Gd 157.25 Gd.upf
Cu 63.55 Cu.upf
ATOMIC_POSITIONS crystal
Dy 0.304 0.304 0.609
Gd 0.024 0.024 0.048
Cu 0.671 0.671 0.343
CELL_PARAMETERS angstrom
3.509 0.000 0.000
0.000 3.509 0.000
-1.754 -1.754 6.117
```

Results
SG = I4mm (107)
calculated volume = 25.105 Å³ per atom
DFT total energy = -7.72 eV/atom
mass density = 8.5 g/cm3
energy relative to the lowest polymorph listed for this composition = 0.0 meV per atom